# SrPr3CrNiO8 GGA-PBEsol relaxed
data_SrPr3CrNiO8
_chemical_formula_sum 'Sr2 Pr6 Cr2 Ni2 O16'
_cell_length_a 5.4008
_cell_length_b 5.3987
_cell_length_c 12.2845
_cell_angle_alpha 90.00
_cell_angle_beta 90.00
_cell_angle_gamma 90.00
_space_group_name_H-M_alt 'A m m 2'
_space_group_IT_number 38
loop_
_space_group_symop_operation_xyz
'x,y,z'
'-x,-y,z'
'-x,y,z'
'x,-y,z'
'x,y+1/2,z+1/2'
'-x,-y+1/2,z+1/2'
'-x,y+1/2,z+1/2'
'x,-y+1/2,z+1/2'
loop_
_atom_site_label
_atom_site_type_symbol
_atom_site_fract_x
_atom_site_fract_y
_atom_site_fract_z
_atom_site_occupancy
Sr1 Sr 0.0000 0.0000 0.0000 1
Pr1 Pr 0.0000 0.0000 0.7224 1
Pr2 Pr 0.5000 0.0000 0.2192 1
Pr3 Pr 0.5000 0.0000 0.4933 1
Cr1 Cr 0.0000 0.0000 0.3591 1
Ni1 Ni 0.5000 0.0000 0.8602 1
O1 O 0.0000 0.0000 0.1960 1
O2 O 0.0000 0.0000 0.5290 1
O3 O 0.2523 0.2456 0.3546 1
O4 O 0.5000 0.0000 0.0319 1
O5 O 0.5000 0.0000 0.6819 1
# DOS(E_F), states/eV/f.u.: 0.6
# Size of the total moment, μB per formula unit: 5.0
# E, eV per atom: -8.07